1.
VASP calculation (PBE-GGA) on a relaxed Li5Co3C3 crystal.

Calculated values
For the total moment, the calculation gives 0.3 μB/f.u. For the total energy, the calculation gives -4.991 eV/atom. The space group is P-62m (189).

Cell lengths 6.6346, 6.6346, 3.4496 Å; angles 90.00, 90.00, 120.00 degrees
With the nearest neighbours (Å) after each atom.
Sites, in units of the cell vectors:
C1 0.3608 0.0000 0.0000  2 Co 1.75
C2 0.0000 0.3608 0.0000  2 Co 1.75
C3 0.6392 0.6392 0.0000  2 Co 1.75
Co1 0.4081 0.0000 0.5000  2 C 1.75
Co2 0.0000 0.4081 0.5000  2 C 1.75
Co3 0.5919 0.5919 0.5000  2 C 1.75
Li1 0.7395 0.0000 0.0000  2 C 2.14
Li2 0.2605 0.2605 0.0000  2 C 2.14
Li3 0.6667 0.3333 0.0000  3 C 2.13
Li4 0.3333 0.6667 0.0000  3 C 2.13
Li5 0.0000 0.7395 0.0000  2 C 2.14


2.
VASP calculation (PBE-GGA) on a relaxed MgCoAsW crystal.

Calculated values
For the total moment, the calculation gives 2.2 μB/f.u. For the total energy, the calculation gives -5.862 eV/atom. Its energy above the most stable polymorph in this dataset is 220 meV/atom. The space group is F-43m (216).

Cell lengths 4.4194, 4.4194, 4.4194 Å; angles 60.00, 60.00, 60.00 degrees
With the nearest neighbours (Å) after each atom.
Sites, in units of the cell vectors:
As1 0.0000 0.0000 0.0000  4 Mg 2.71, 4 Co 2.71
Co1 0.7500 0.7500 0.7500  4 W 2.71, 4 As 2.71
Mg1 0.2500 0.2500 0.2500  4 As 2.71, 4 W 2.71
W1 0.5000 0.5000 0.5000  4 Mg 2.71, 4 Co 2.71


3.
VASP calculation (PBE-GGA) on a relaxed SmMgCuSe3 crystal.

Calculated values
For the total moment, the calculation gives 0.0 μB/f.u. For the total energy, the calculation gives -4.549 eV/atom. The space group is Cmcm (63).

Cell lengths 6.7133, 6.7133, 10.8742 Å; angles 90.00, 90.00, 146.27 degrees
With the nearest neighbours (Å) after each atom.
Sites, in units of the cell vectors:
Cu1 0.5233 0.4767 0.2500  4 Se 2.45-2.52
Cu2 0.4767 0.5233 0.7500  4 Se 2.45-2.52
Mg1 0.2324 0.7676 0.2500  6 Se 2.85-2.90
Mg2 0.7676 0.2324 0.7500  6 Se 2.85-2.90
Se1 0.6514 0.3486 0.0837  1 Cu 2.45
Se2 0.8994 0.1006 0.2500  2 Cu 2.52
Se3 0.6514 0.3486 0.4163  1 Cu 2.45
Se4 0.3486 0.6514 0.5837  1 Cu 2.45
Se5 0.1006 0.8994 0.7500  2 Cu 2.52
Se6 0.3486 0.6514 0.9163  1 Cu 2.45
Sm1 0.0000 0.0000 0.0000  6 Se 2.90-3.01
Sm2 0.0000 0.0000 0.5000  6 Se 2.90-3.01


4.
VASP calculation (PBE-GGA) on a relaxed AlCdCuW crystal.

Calculated values
For the total moment, the calculation gives 1.4 μB/f.u. For the total energy, the calculation gives -4.765 eV/atom. Its energy above the most stable polymorph in this dataset is 0 meV/atom. The space group is F-43m (216).

Cell lengths 4.5000, 4.5000, 4.5000 Å; angles 60.00, 60.00, 60.00 degrees
With the nearest neighbours (Å) after each atom.
Sites, in units of the cell vectors:
Al1 0.0000 0.0000 0.0000  4 W 2.76, 4 Cu 2.76
Cd1 0.5000 0.5000 0.5000  4 W 2.76, 4 Cu 2.76
Cu1 0.7500 0.7500 0.7500  4 Cd 2.76, 4 Al 2.76
W1 0.2500 0.2500 0.2500  4 Cd 2.76, 4 Al 2.76


5.
VASP calculation (PBE-GGA) on a relaxed Lu3Bi2P crystal.

Calculated values
For the total moment, the calculation gives 0.0 μB/f.u. For the total energy, the calculation gives -5.490 eV/atom. The space group is P-3m1 (164).

Cell lengths 4.1780, 4.1780, 10.6407 Å; angles 90.00, 90.00, 120.00 degrees
With the nearest neighbours (Å) after each atom.
Sites, in units of the cell vectors:
Bi1 0.6667 0.3333 0.3217  6 Lu 3.07-3.10
Bi2 0.3333 0.6667 0.6783  6 Lu 3.07-3.10
Lu1 0.3333 0.6667 0.1380  3 P 2.82, 3 Bi 3.10
Lu2 0.0000 0.0000 0.5000  6 Bi 3.07
Lu3 0.6667 0.3333 0.8620  3 P 2.82, 3 Bi 3.10
P1 0.0000 0.0000 0.0000  6 Lu 2.82


6.
VASP calculation (PBE-GGA) on a relaxed CsCoIrSe3 crystal.

Calculated values
For the total moment, the calculation gives 1.4 μB/f.u. For the total energy, the calculation gives -4.923 eV/atom. The space group is Cmcm (63).

Cell lengths 8.2208, 8.2208, 9.9195 Å; angles 90.00, 90.00, 153.06 degrees
With the nearest neighbours (Å) after each atom.
Sites, in units of the cell vectors:
Co1 0.9814 0.0186 0.2500  4 Se 2.28-2.31
Co2 0.0186 0.9814 0.7500  4 Se 2.28-2.31
Cs1 0.2511 0.7489 0.2500  8 Se 3.58-3.93, 2 Cs 3.83
Cs2 0.7489 0.2511 0.7500  8 Se 3.58-3.93, 2 Cs 3.83
Ir1 0.5000 0.5000 0.0000  6 Se 2.53-2.67
Ir2 0.5000 0.5000 0.5000  6 Se 2.53-2.67
Se1 0.9028 0.0972 0.0582  1 Co 2.28, 2 Ir 2.53
Se2 0.5621 0.4379 0.2500  2 Co 2.31
Se3 0.9028 0.0972 0.4418  1 Co 2.28, 2 Ir 2.53
Se4 0.0972 0.9028 0.5582  1 Co 2.28, 2 Ir 2.53
Se5 0.4379 0.5621 0.7500  2 Co 2.31
Se6 0.0972 0.9028 0.9418  1 Co 2.28, 2 Ir 2.53


Which value of total moment does entry 5 give?
0.0 μB/f.u.


Copy entry 5 word for word.
VASP calculation (PBE-GGA) on a relaxed Lu3Bi2P crystal.

Calculated values
For the total moment, the calculation gives 0.0 μB/f.u. For the total energy, the calculation gives -5.490 eV/atom. The space group is P-3m1 (164).

Cell lengths 4.1780, 4.1780, 10.6407 Å; angles 90.00, 90.00, 120.00 degrees
With the nearest neighbours (Å) after each atom.
Sites, in units of the cell vectors:
Bi1 0.6667 0.3333 0.3217  6 Lu 3.07-3.10
Bi2 0.3333 0.6667 0.6783  6 Lu 3.07-3.10
Lu1 0.3333 0.6667 0.1380  3 P 2.82, 3 Bi 3.10
Lu2 0.0000 0.0000 0.5000  6 Bi 3.07
Lu3 0.6667 0.3333 0.8620  3 P 2.82, 3 Bi 3.10
P1 0.0000 0.0000 0.0000  6 Lu 2.82


Which formula does entry 3 have?
SmMgCuSe3